Compound: Sr2F5
Source: Alexandria
Functional: PBE
Structure: optimized geometry

The calculation puts the formation energy (no corrections) at -3.350 eV/atom. Its crystal system is orthorhombic. The calculation puts the magnetization at 1.06 μB/f.u. For the density of states at the Fermi level, the calculation gives 3.03 states/eV/f.u.

The space group is Ibam (No. 72) and the conventional cell measures 6.570, 13.027 and 4.775 Å, with angles of 90.00, 90.00 and 90.00 degrees. The asymmetric unit holds Sr at (0.232, 0.117, 0.000), F at (0.000, 0.266, 0.250), F at (0.000, 0.500, 0.250) and F at (0.142, 0.076, 0.500).